Run P
## OsSeBr2 (PBEsol)

Data for crystalline OsSeBr2 at its relaxed geometry.

Calculated values
- D(E_F): 3.8 states/eV per cell
- SG: Cmmm
- Density: 9757 kg/m3

Cell: 4.993 4.993 3.023 Å, 90.00 90.00 104.31°
Fractional coordinates of all 4 atoms:
Os: 0.000 0.000 0.000
Se: 0.500 0.500 0.000
Br: 0.000 0.500 0.500
Br: 0.500 0.000 0.500

Run Q
## OsSeBr2 (PBEsol)

Data for crystalline OsSeBr2 at its relaxed geometry.

Calculated values
- D(E_F): 4.6 states/eV per cell
- SG: Pmmm
- Density: 9494 kg/m3

Cell: 3.050 4.515 5.450 Å, 90.00 90.00 90.00°
Fractional coordinates of all 4 atoms:
Os: 0.000 0.000 0.000
Se: 0.500 0.000 0.500
Br: 0.000 0.500 0.500
Br: 0.500 0.500 0.000

List of relative energies, unit meV per atom: run P 181; run Q 0

Run P
## OsSeBr2 (PBEsol)

Data for crystalline OsSeBr2 at its relaxed geometry.

Calculated values
- D(E_F): 3.5 states/eV per cell
- SG: R3m
- Density: 7989 kg/m3

Cell: 7.989 7.989 7.989 Å, 26.45 26.45 26.45°
Fractional coordinates of all 4 atoms:
Os: 0.000 0.000 0.000
Se: 0.716 0.716 0.716
Br: 0.267 0.267 0.267
Br: 0.485 0.485 0.485

Run Q
## OsSeBr2 (PBEsol)

Data for crystalline OsSeBr2 at its relaxed geometry.

Calculated values
- D(E_F): 2.5 states/eV per cell
- SG: Imm2
- Density: 8306 kg/m3

Cell: 6.313 6.313 6.313 Å, 151.39 134.26 54.84°
Fractional coordinates of all 4 atoms:
Os: 0.000 0.000 0.000
Se: 0.840 0.340 0.500
Br: 0.195 0.695 0.500
Br: 0.511 0.511 0.000

List of relative energies, unit meV per atom: run P 0; run Q 230

Run P
## Os2SeBr (PBEsol)

Data for crystalline Os2SeBr at its relaxed geometry.

Calculated values
- D(E_F): 4.8 states/eV per cell
- SG: Cmm2
- Density: 12658 kg/m3

Cell: 2.872 2.872 10.092 Å, 90.00 90.00 121.81°
Fractional coordinates of all 4 atoms:
Os: 0.000 0.000 0.000
Os: 0.500 0.500 0.208
Se: 0.000 0.000 0.431
Br: 0.500 0.500 0.758

Run Q
## Os2SeBr (PBEsol)

Data for crystalline Os2SeBr at its relaxed geometry.

Calculated values
- D(E_F): 4.6 states/eV per cell
- SG: Pmmm
- Density: 13920 kg/m3

Cell: 2.845 4.363 5.184 Å, 90.00 90.00 90.00°
Fractional coordinates of all 4 atoms:
Os: 0.000 0.000 0.000
Os: 0.500 0.000 0.500
Se: 0.000 0.500 0.500
Br: 0.500 0.500 0.000

List of relative energies, unit meV per atom: run P 0; run Q 458

Run P
## SrOsBr2 (PBEsol)

Data for crystalline SrOsBr2 at its relaxed geometry.

Calculated values
- D(E_F): 1.7 states/eV per cell
- SG: Cm
- Density: 7250 kg/m3

Cell: 8.407 8.407 3.626 Å, 90.03 90.03 23.03°
Fractional coordinates of all 4 atoms:
Sr: 0.000 0.000 0.000
Os: 0.356 0.356 0.497
Br: 0.608 0.608 0.500
Br: 0.812 0.812 0.997

Run Q
## SrOsBr2 (PBEsol)

Data for crystalline SrOsBr2 at its relaxed geometry.

Calculated values
- D(E_F): 3.6 states/eV per cell
- SG: R-3m
- Density: 7578 kg/m3

Cell: 4.861 4.861 4.861 Å, 68.58 68.58 68.58°
Fractional coordinates of all 4 atoms:
Sr: 0.000 0.000 0.000
Os: 0.500 0.500 0.500
Br: 0.280 0.280 0.280
Br: 0.720 0.720 0.720

List of relative energies, unit meV per atom: run P 0; run Q 77

Run P
## TaOs2Br (PBEsol)

Data for crystalline TaOs2Br at its relaxed geometry.

Calculated values
- D(E_F): 3.3 states/eV per cell
- SG: C2/m
- Density: 16675 kg/m3

Cell: 5.118 5.118 4.505 Å, 92.98 92.98 32.82°
Fractional coordinates of all 4 atoms:
Ta: 0.000 0.000 0.000
Os: 0.277 0.277 0.769
Os: 0.723 0.723 0.231
Br: 0.500 0.500 0.500

Run Q
## TaOs2Br (PBEsol)

Data for crystalline TaOs2Br at its relaxed geometry.

Calculated values
- D(E_F): 2.5 states/eV per cell
- SG: Pmmm
- Density: 17152 kg/m3

Cell: 2.918 4.539 4.687 Å, 90.00 90.00 90.00°
Fractional coordinates of all 4 atoms:
Ta: 0.000 0.000 0.000
Os: 0.000 0.500 0.500
Os: 0.500 0.500 0.000
Br: 0.500 0.000 0.500

List of relative energies, unit meV per atom: run P 0; run Q 130

Run P
## TaOs2Br (PBEsol)

Data for crystalline TaOs2Br at its relaxed geometry.

Calculated values
- D(E_F): 4.0 states/eV per cell
- SG: I-4m2
- Density: 16856 kg/m3

Cell: 5.040 5.040 5.040 Å, 134.95 134.95 65.60°
Fractional coordinates of all 4 atoms:
Ta: 0.000 0.000 0.000
Os: 0.250 0.750 0.500
Os: 0.500 0.500 0.000
Br: 0.750 0.250 0.500

Run Q
## TaOs2Br (PBEsol)

Data for crystalline TaOs2Br at its relaxed geometry.

Calculated values
- D(E_F): 3.6 states/eV per cell
- SG: F-43m
- Density: 16887 kg/m3

Cell: 4.468 4.468 4.468 Å, 60.00 60.00 60.00°
Fractional coordinates of all 4 atoms:
Ta: 0.000 0.000 0.000
Os: 0.250 0.250 0.250
Os: 0.500 0.500 0.500
Br: 0.750 0.750 0.750

List of relative energies, unit meV per atom: run P 110; run Q 0

Run P
## TaOsBr2 (PBEsol)

Data for crystalline TaOsBr2 at its relaxed geometry.

Calculated values
- D(E_F): 3.3 states/eV per cell
- SG: Fm-3m
- Density: 13440 kg/m3

Cell: 4.527 4.527 4.527 Å, 60.00 60.00 60.00°
Fractional coordinates of all 4 atoms:
Ta: 0.000 0.000 0.000
Os: 0.500 0.500 0.500
Br: 0.250 0.250 0.250
Br: 0.750 0.750 0.750

Run Q
## TaOsBr2 (PBEsol)

Data for crystalline TaOsBr2 at its relaxed geometry.

Calculated values
- D(E_F): 4.0 states/eV per cell
- SG: Cmmm
- Density: 12159 kg/m3

Cell: 3.112 3.112 9.052 Å, 90.00 90.00 124.20°
Fractional coordinates of all 4 atoms:
Ta: 0.000 0.000 0.000
Os: 0.000 0.000 0.500
Br: 0.500 0.500 0.249
Br: 0.500 0.500 0.751

List of relative energies, unit meV per atom: run P 76; run Q 0

Run P
## Tc2OsBr (PBEsol)

Data for crystalline Tc2OsBr at its relaxed geometry.

Calculated values
- D(E_F): 3.8 states/eV per cell
- SG: Cm
- Density: 12742 kg/m3

Cell: 5.056 5.056 4.395 Å, 93.22 93.22 32.79°
Fractional coordinates of all 4 atoms:
Tc: 0.000 0.000 0.000
Tc: 0.708 0.708 0.271
Os: 0.439 0.439 0.455
Br: 0.221 0.221 0.748

Run Q
## Tc2OsBr (PBEsol)

Data for crystalline Tc2OsBr at its relaxed geometry.

Calculated values
- D(E_F): 4.3 states/eV per cell
- SG: P4mm
- Density: 12846 kg/m3

Cell: 2.855 2.855 7.390 Å, 90.00 90.00 90.00°
Fractional coordinates of all 4 atoms:
Tc: 0.000 0.000 0.000
Tc: 0.500 0.500 0.248
Os: 0.500 0.500 0.776
Br: 0.000 0.000 0.483

List of relative energies, unit meV per atom: run P 68; run Q 0

Run P
## Tc2OsBr (PBEsol)

Data for crystalline Tc2OsBr at its relaxed geometry.

Calculated values
- D(E_F): 3.6 states/eV per cell
- SG: P2/m
- Density: 13074 kg/m3

Cell: 2.861 3.997 5.349 Å, 90.00 104.59 90.00°
Fractional coordinates of all 4 atoms:
Tc: 0.121 0.000 0.242
Tc: 0.879 0.000 0.758
Os: 0.500 0.500 0.000
Br: 0.500 0.500 0.500

Run Q
## Tc2OsBr (PBEsol)

Data for crystalline Tc2OsBr at its relaxed geometry.

Calculated values
- D(E_F): 4.8 states/eV per cell
- SG: Cmmm
- Density: 12478 kg/m3

Cell: 2.760 2.760 9.289 Å, 90.00 90.00 118.75°
Fractional coordinates of all 4 atoms:
Tc: 0.000 0.000 0.236
Tc: 0.000 0.000 0.764
Os: 0.500 0.500 0.000
Br: 0.500 0.500 0.500

List of relative energies, unit meV per atom: run P 0; run Q 135

Run P
## Te2OsBr (PBEsol)

Data for crystalline Te2OsBr at its relaxed geometry.

Calculated values
- D(E_F): 4.9 states/eV per cell
- SG: F-43m
- Density: 10437 kg/m3

Cell: 4.908 4.908 4.908 Å, 60.00 60.00 60.00°
Fractional coordinates of all 4 atoms:
Te: 0.000 0.000 0.000
Te: 0.250 0.250 0.250
Os: 0.500 0.500 0.500
Br: 0.750 0.750 0.750

Run Q
## Te2OsBr (PBEsol)

Data for crystalline Te2OsBr at its relaxed geometry.

Calculated values
- D(E_F): 3.9 states/eV per cell
- SG: Pmmm
- Density: 10368 kg/m3

Cell: 3.300 4.793 5.319 Å, 90.00 90.00 90.00°
Fractional coordinates of all 4 atoms:
Te: 0.000 0.000 0.000
Te: 0.500 0.000 0.500
Os: 0.000 0.500 0.500
Br: 0.500 0.500 0.000

List of relative energies, unit meV per atom: run P 0; run Q 34

Run P
## OsW2Br (PBEsol)

Data for crystalline OsW2Br at its relaxed geometry.

Calculated values
- D(E_F): 2.4 states/eV per cell
- SG: R-3m
- Density: 16901 kg/m3

Cell: 8.864 8.864 8.864 Å, 18.72 18.72 18.72°
Fractional coordinates of all 4 atoms:
Os: 0.000 0.000 0.000
W: 0.251 0.251 0.251
W: 0.749 0.749 0.749
Br: 0.500 0.500 0.500

Run Q
## OsW2Br (PBEsol)

Data for crystalline OsW2Br at its relaxed geometry.

Calculated values
- D(E_F): 3.6 states/eV per cell
- SG: Fm-3m
- Density: 17009 kg/m3

Cell: 4.449 4.449 4.449 Å, 60.00 60.00 60.00°
Fractional coordinates of all 4 atoms:
Os: 0.000 0.000 0.000
W: 0.250 0.250 0.250
W: 0.750 0.750 0.750
Br: 0.500 0.500 0.500

Run R
## OsW2Br (PBEsol)

Data for crystalline OsW2Br at its relaxed geometry.

Calculated values
- D(E_F): 2.8 states/eV per cell
- SG: R3m
- Density: 16437 kg/m3

Cell: 9.014 9.014 9.014 Å, 18.50 18.50 18.50°
Fractional coordinates of all 4 atoms:
Os: 0.000 0.000 0.000
W: 0.497 0.497 0.497
W: 0.742 0.742 0.742
Br: 0.240 0.240 0.240

List of relative energies, unit meV per atom: run P 0; run Q 474; run R 26

Run P
## YOsBr2 (PBEsol)

Data for crystalline YOsBr2 at its relaxed geometry.

Calculated values
- D(E_F): 3.1 states/eV per cell
- SG: Pmm2
- Density: 7772 kg/m3

Cell: 3.583 3.847 6.804 Å, 90.00 90.00 90.00°
Fractional coordinates of all 4 atoms:
Y: 0.000 0.000 0.000
Os: 0.500 0.500 0.837
Br: 0.000 0.000 0.584
Br: 0.500 0.500 0.204

Run Q
## YOsBr2 (PBEsol)

Data for crystalline YOsBr2 at its relaxed geometry.

Calculated values
- D(E_F): 4.5 states/eV per cell
- SG: P4mm
- Density: 8143 kg/m3

Cell: 3.233 3.233 8.565 Å, 90.00 90.00 90.00°
Fractional coordinates of all 4 atoms:
Y: 0.000 0.000 0.000
Os: 0.500 0.500 0.777
Br: 0.000 0.000 0.591
Br: 0.500 0.500 0.224

Run R
## YOsBr2 (PBEsol)

Data for crystalline YOsBr2 at its relaxed geometry.

Calculated values
- D(E_F): 1.8 states/eV per cell
- SG: Imm2
- Density: 7972 kg/m3

Cell: 7.060 7.060 7.060 Å, 152.88 145.13 44.72°
Fractional coordinates of all 4 atoms:
Y: 0.000 0.000 0.000
Os: 0.839 0.339 0.500
Br: 0.341 0.841 0.500
Br: 0.607 0.607 0.000

List of relative energies, unit meV per atom: run P 112; run Q 30; run R 0